{"formula": "NaY2HPb", "functional": "PBE-GGA", "state": "optimized geometry", "final_energy_ev_per_cell": -22.760, "cell": [[5.0540, 0.0000, 0.0000], [0.0000, 5.0540, 0.0000], [0.0000, 0.0000, 4.7120]], "species": ["Na", "Y", "Y", "H", "Pb"], "frac_coords": [[0.0000, 0.0000, 0.0000], [0.0000, 0.5000, 0.5000], [0.5000, 0.0000, 0.5000], [0.0000, 0.0000, 0.5000], [0.5000, 0.5000, 0.0000]]}